Entry 1:
This record from the Alexandria database describes a crystal of Sr2MnTe relaxed with PBEsol. The functional is meta-GGA SCAN.

Structure (POSCAR):
```
Sr2MnTe
1.0
4.0415 0.0000 0.0000
0.0000 4.0415 0.0000
0.0000 0.0000 7.4989
Sr Mn Te
2 1 1
Direct
0.0000 0.0000 0.2485
0.0000 0.0000 0.7515
0.5000 0.5000 0.5000
0.5000 0.5000 0.0000
```

Its symmetry is P4/mmm (123). The calculation puts the uncorrected formation energy at -0.670 eV per atom.

***

Entry 2:
This record from the Alexandria database describes a crystal of SrMn2Te relaxed with PBEsol. The functional is meta-GGA SCAN.

Structure (POSCAR):
```
SrMn2Te
1.0
4.4107 0.0000 0.0000
0.0000 4.4107 0.0000
0.0000 0.0000 4.6885
Sr Mn Te
1 2 1
Direct
0.0000 0.0000 0.0000
0.0000 0.5000 0.5000
0.5000 0.0000 0.5000
0.5000 0.5000 0.0000
```

Its symmetry is P4/mmm (123). The calculation puts the uncorrected formation energy at -0.063 eV per atom.

***

Entry 3:
This record from the Alexandria database describes a crystal of Sr2MnTe relaxed with PBEsol. The functional is meta-GGA SCAN.

Structure (POSCAR):
```
Sr2MnTe
1.0
4.4981 0.0000 0.0000
0.0000 2.2627 6.1358
0.0000 -2.2627 6.1358
Sr Mn Te
2 1 1
Direct
0.0000 0.0000 0.0000
0.5000 0.2903 0.2903
0.5000 0.5708 0.5708
0.0000 0.7105 0.7105
```

Its symmetry is Amm2 (38). The calculation puts the uncorrected formation energy at -0.676 eV per atom.

***

Entry 4:
This record from the Alexandria database describes a crystal of SrMn3Te relaxed with PBEsol. The functional is meta-GGA SCAN.

Structure (POSCAR):
```
SrMn3Te
1.0
4.9175 0.0000 0.0000
0.0000 4.9175 0.0000
0.0000 0.0000 4.9175
Sr Mn Te
1 3 1
Direct
0.0000 0.0000 0.0000
0.0000 0.5000 0.5000
0.5000 0.0000 0.5000
0.5000 0.5000 0.0000
0.5000 0.5000 0.5000
```

Its symmetry is Pm-3m (221). The calculation puts the uncorrected formation energy at 0.389 eV per atom.

***

Entry 5:
This record from the Alexandria database describes a crystal of SrMn2Te relaxed with PBEsol. The functional is meta-GGA SCAN.

Structure (POSCAR):
```
SrMn2Te
1.0
3.9413 0.0000 0.0000
0.0000 3.9413 0.0000
0.0000 0.0000 6.4079
Sr Mn Te
1 2 1
Direct
0.0000 0.0000 0.0000
0.0000 0.5000 0.5603
0.5000 0.0000 0.5603
0.5000 0.5000 0.2623
```

Its symmetry is P4mm (99). The calculation puts the uncorrected formation energy at -0.281 eV per atom.

***

Entry 6:
This record from the Alexandria database describes a crystal of Sr2MnTe relaxed with PBEsol. The functional is meta-GGA SCAN.

Structure (POSCAR):
```
Sr2MnTe
1.0
-2.3115 2.3115 5.9003
2.3115 -2.3115 5.9003
2.3115 2.3115 -5.9003
Sr Mn Te
2 1 1
Direct
0.0000 0.0000 0.0000
0.7500 0.2500 0.5000
0.2500 0.7500 0.5000
0.5000 0.5000 0.0000
```

Its symmetry is I-4m2 (119). The calculation puts the uncorrected formation energy at -0.489 eV per atom.

***

Entry 7:
This record from the Alexandria database describes a crystal of SrTiMn3 relaxed with PBEsol. The functional is meta-GGA SCAN.

Structure (POSCAR):
```
SrTiMn3
1.0
4.6760 0.0000 0.0000
0.0000 4.6760 0.0000
0.0000 0.0000 4.6760
Sr Ti Mn
1 1 3
Direct
0.0000 0.0000 0.0000
0.5000 0.5000 0.5000
0.0000 0.5000 0.5000
0.5000 0.0000 0.5000
0.5000 0.5000 0.0000
```

Its symmetry is Pm-3m (221).

***

Entry 8:
This record from the Alexandria database describes a crystal of Sr3MnTl relaxed with PBEsol. The functional is meta-GGA SCAN.

Structure (POSCAR):
```
Sr3MnTl
1.0
6.2217 0.0000 0.0000
0.0000 6.2217 0.0000
0.0000 0.0000 6.2217
Sr Mn Tl
3 1 1
Direct
0.0000 0.0000 0.5000
0.0000 0.5000 0.0000
0.5000 0.0000 0.0000
0.5000 0.5000 0.5000
0.0000 0.0000 0.0000
```

Its symmetry is Pm-3m (221).

***

Entry 9:
This record from the Alexandria database describes a crystal of Sr2MnW relaxed with PBEsol. The functional is meta-GGA SCAN.

Structure (POSCAR):
```
Sr2MnW
1.0
-1.6437 1.8153 9.0564
1.6437 -1.8153 9.0564
1.6437 1.8153 -9.0564
Sr Mn W
2 1 1
Direct
0.1491 0.1491 0.0000
0.8509 0.8509 0.0000
0.0000 0.5000 0.5000
0.5000 0.0000 0.5000
```

Its symmetry is Immm (71). For the energy relative to the lowest polymorph listed for this composition, the calculation gives 0.1211 eV/atom.

***

Entry 10:
This record from the Alexandria database describes a crystal of Sr2MnW relaxed with PBEsol. The functional is meta-GGA SCAN.

Structure (POSCAR):
```
Sr2MnW
1.0
4.3412 0.0000 0.0000
0.0000 4.3412 0.0000
0.0000 0.0000 4.9860
Sr Mn W
2 1 1
Direct
0.0000 0.5000 0.0000
0.5000 0.0000 0.0000
0.0000 0.0000 0.5000
0.5000 0.5000 0.5000
```

Its symmetry is P4/mmm (123). For the energy relative to the lowest polymorph listed for this composition, the calculation gives 0.6025 eV/atom.

***

Entry 11:
This record from the Alexandria database describes a crystal of Sr2MnW relaxed with PBEsol. The functional is meta-GGA SCAN.

Structure (POSCAR):
```
Sr2MnW
1.0
-2.2020 2.2020 4.9656
2.2020 -2.2020 4.9656
2.2020 2.2020 -4.9656
Sr Mn W
2 1 1
Direct
0.2500 0.7500 0.5000
0.7500 0.2500 0.5000
0.0000 0.0000 0.0000
0.5000 0.5000 0.0000
```

Its symmetry is I4/mmm (139). For the energy relative to the lowest polymorph listed for this composition, the calculation gives 0.5740 eV/atom.

***

Entry 12:
This record from the Alexandria database describes a crystal of Sr4MnW relaxed with PBEsol. The functional is meta-GGA SCAN.

Structure (POSCAR):
```
Sr4MnW
1.0
0.0000 4.6780 4.6780
4.6780 0.0000 4.6780
4.6780 4.6780 0.0000
Sr Mn W
4 1 1
Direct
0.1244 0.1244 0.1244
0.1244 0.1244 0.6268
0.1244 0.6268 0.1244
0.6268 0.1244 0.1244
0.5000 0.5000 0.5000
0.7500 0.7500 0.7500
```

Its symmetry is F-43m (216).

***

What did we get for final energy? Answer: -102.74, -96.29, -102.76, -112.34, -97.16, -102.01, -90.75, -156.39, -129.43, -127.50, -127.62, -168.21 eV per formula unit, in the order shown.